[1]
{
  "formula": "CeZn4Ag2",
  "functional": "PBE",
  "state": "optimized geometry",
  "magmom_total_mub_per_fu": 0.77,
  "n_ef_per_ev_atom": 0.955,
  "crystal_system": "monoclinic",
  "energy_ev_per_fu": -17.98,
  "lattice_angstrom": [[4.350, -3.426, 0.000], [4.350, 3.426, 0.000], [-3.349, 0.000, 4.266]],
  "species": ["Ce", "Zn", "Zn", "Zn", "Zn", "Ag", "Ag"],
  "fractional_positions": [[0.000, 0.000, 0.000], [0.000, 0.377, 0.688], [0.000, 0.623, 0.312], [0.377, 0.000, 0.688], [0.623, 0.000, 0.312], [0.499, 0.499, 0.249], [0.501, 0.501, 0.751]]
}

[2]
{
  "formula": "CeZn6Ag2",
  "functional": "PBE",
  "state": "optimized geometry",
  "magmom_total_mub_per_fu": 0.73,
  "n_ef_per_ev_atom": 0.947,
  "crystal_system": "orthorhombic",
  "energy_ev_per_fu": -19.90,
  "lattice_angstrom": [[-1.975, 3.455, 6.192], [1.975, -3.455, 6.192], [1.975, 3.455, -6.192]],
  "species": ["Ce", "Zn", "Zn", "Zn", "Zn", "Zn", "Zn", "Ag", "Ag"],
  "fractional_positions": [[0.000, 0.000, 0.000], [0.007, 0.312, 0.695], [0.323, 0.500, 0.823], [0.383, 0.688, 0.695], [0.617, 0.312, 0.305], [0.677, 0.500, 0.177], [0.993, 0.688, 0.305], [0.376, 0.876, 0.500], [0.624, 0.124, 0.500]]
}

[3]
{
  "formula": "CeZr2Ag",
  "functional": "PBE",
  "state": "optimized geometry",
  "magmom_total_mub_per_fu": 0.00,
  "de_polymorph_mev_per_atom": 70.7,
  "n_ef_per_ev_atom": 1.959,
  "crystal_system": "cubic",
  "energy_ev_per_fu": -25.46,
  "lattice_angstrom": [[0.000, 3.580, 3.580], [3.580, 0.000, 3.580], [3.580, 3.580, 0.000]],
  "species": ["Ce", "Zr", "Zr", "Ag"],
  "fractional_positions": [[0.000, 0.000, 0.000], [0.250, 0.250, 0.250], [0.500, 0.500, 0.500], [0.750, 0.750, 0.750]]
}

[4]
{
  "formula": "Ce2ZrAg6",
  "functional": "PBE",
  "state": "optimized geometry",
  "magmom_total_mub_per_fu": 2.08,
  "n_ef_per_ev_atom": 1.487,
  "crystal_system": "hexagonal",
  "energy_ev_per_fu": -38.46,
  "lattice_angstrom": [[8.495, 0.000, 0.000], [-4.247, 7.357, 0.000], [0.000, 0.000, 3.032]],
  "species": ["Ce", "Ce", "Zr", "Ag", "Ag", "Ag", "Ag", "Ag", "Ag"],
  "fractional_positions": [[0.333, 0.667, 0.000], [0.667, 0.333, 0.000], [0.000, 0.000, 0.000], [0.000, 0.328, 0.500], [0.000, 0.672, 0.500], [0.328, 0.000, 0.500], [0.328, 0.328, 0.500], [0.672, 0.000, 0.500], [0.672, 0.672, 0.500]]
}

[5]
{
  "formula": "CeZr2Ag",
  "functional": "PBE",
  "state": "optimized geometry",
  "magmom_total_mub_per_fu": 0.00,
  "de_polymorph_mev_per_atom": 194.5,
  "n_ef_per_ev_atom": 1.601,
  "crystal_system": "trigonal",
  "energy_ev_per_fu": -24.96,
  "lattice_angstrom": [[1.527, 0.882, 11.152], [-1.527, 0.882, 11.152], [0.000, -1.763, 11.152]],
  "species": ["Ce", "Zr", "Zr", "Ag"],
  "fractional_positions": [[0.000, 0.000, 0.000], [0.091, 0.091, 0.091], [0.909, 0.909, 0.909], [0.500, 0.500, 0.500]]
}

[6]
{
  "formula": "CeZrAg4",
  "functional": "PBE",
  "state": "optimized geometry",
  "magmom_total_mub_per_fu": 2.24,
  "n_ef_per_ev_atom": 1.758,
  "crystal_system": "cubic",
  "energy_ev_per_fu": -25.45,
  "lattice_angstrom": [[0.000, 3.986, 3.986], [3.986, 0.000, 3.986], [3.986, 3.986, 0.000]],
  "species": ["Ce", "Zr", "Ag", "Ag", "Ag", "Ag"],
  "fractional_positions": [[0.000, 0.000, 0.000], [0.750, 0.750, 0.750], [0.376, 0.376, 0.376], [0.376, 0.376, 0.873], [0.376, 0.873, 0.376], [0.873, 0.376, 0.376]]
}